First-principles (PBE) data for a relaxed structure of BaSrI2, as listed in Alexandria via LeMat-Bulk.

Unit cell a=4.478 b=4.478 c=9.755 alpha=76.73 beta=76.73 gamma=60.00
Positions (direct):
I: 0.257 0.257 0.228
I: 0.743 0.743 0.772
Sr: 0.000 0.000 0.000
Ba: 0.500 0.500 0.500

Properties
The value obtained for the formation energy without anion corrections is -1.18 eV/atom. The value obtained for the final energy is -2.86 eV/atom. The density of states at the Fermi level is 0.5471 states/eV/atom. The calculation puts the size of the total moment at 0.00 μB per formula unit.